Below is a relaxed structure of Tl2BSe, with properties calculated at the PBE level.

Unit cell a=6.0430 b=6.0430 c=11.4745 alpha=90.00 beta=90.00 gamma=90.00
With the nearest neighbours (Å) after each atom.
Space group I-42d (No. 122)
Unique sites:
Tl 0.1734 0.2500 0.1250  2 B 2.33
B 0.0000 0.0000 0.0000  4 Tl 2.33
Se 0.0000 0.0000 0.5000  4 Tl 2.87

Values from the calculation:
- volume (Å³/f.u.) = 104.76
- energy relative to the elements, uncorrected (eV per formula unit) = 1.951
- polymorph energy (0 for the lowest one) (kJ per mole of atoms) = 0.0

Below is a relaxed structure of UTl2BSe5, with properties calculated at the PBE level.

Unit cell a=3.9490 b=18.3795 c=14.6222 alpha=90.00 beta=90.00 gamma=90.00
With the nearest neighbours (Å) after each atom.
Space group Cmc2_1 (No. 36)
Unique sites:
U 0.0000 0.1868 0.0000  6 Se 2.62-2.85
Tl 0.0000 0.1125 0.3119  4 Se 3.15-3.39
Tl 0.0000 0.1319 0.6510  5 Se 3.21-3.39
B 0.0000 0.4273 0.3760  2 Se 1.96-2.05
Se 0.0000 0.0409 0.9595  2 B 2.39
Se 0.0000 0.3154 0.6309  2 U 2.75
Se 0.0000 0.3165 0.3595  1 B 2.05
Se 0.0000 0.3288 0.9854  1 U 2.62
Se 0.0000 0.4851 0.2631  1 B 1.96

Values from the calculation:
- volume (Å³/f.u.) = 265.32
- energy relative to the elements, uncorrected (eV per formula unit) = -4.515

Below is a relaxed structure of Tm3BSe2, with properties calculated at the PBE level.

Unit cell a=7.9683 b=11.1640 c=23.4255 alpha=90.00 beta=90.00 gamma=90.00
With the nearest neighbours (Å) after each atom.
Space group Fddd (No. 70, origin choice 2)
Unique sites:
Tm 0.0878 0.3750 0.3750  2 B 2.59, 2 Se 2.81
Tm 0.1087 0.3580 0.2152  2 B 2.58-2.61, 2 Se 2.85-2.89
B 0.1250 0.1250 0.0412  6 Tm 2.58-2.61
Se 0.1250 0.1250 0.3790  6 Tm 2.81-2.93
Se 0.1250 0.1250 0.5457  6 Tm 2.85-2.99

Values from the calculation:
- volume (Å³/f.u.) = 130.24
- energy relative to the elements, uncorrected (eV per formula unit) = -7.904